Density functional theory data (PBE-GGA) for GdBeSO after structural relaxation.

Output
Volume (Å³ per cell): 515
Space-group type: Pbca
Offset from the most stable computed form (kJ/mol of atoms): 0.1

Structure (POSCAR):
```
GdBeSO
1.0
6.5468 0.0000 0.0000
0.0000 11.9491 0.0000
0.0000 0.0000 6.5859
Gd Be S O
8 8 8 8
direct
0.1865 0.2185 0.2450 Gd
0.1865 0.2815 0.7450 Gd
0.3135 0.7185 0.2450 Gd
0.3135 0.7815 0.7450 Gd
0.6865 0.2185 0.2550 Gd
0.6865 0.2815 0.7550 Gd
0.8135 0.7185 0.2550 Gd
0.8135 0.7815 0.7550 Gd
0.1091 0.5093 0.3490 Be
0.1091 0.9907 0.8490 Be
0.3909 0.0093 0.3490 Be
0.3909 0.4907 0.8490 Be
0.6091 0.5093 0.1510 Be
0.6091 0.9907 0.6510 Be
0.8909 0.0093 0.1510 Be
0.8909 0.4907 0.6510 Be
0.1847 0.5271 0.6432 S
0.1847 0.9729 0.1432 S
0.3153 0.0271 0.6432 S
0.3153 0.4729 0.1432 S
0.6847 0.5271 0.8568 S
0.6847 0.9729 0.3568 S
0.8153 0.0271 0.8568 S
0.8153 0.4729 0.3568 S
0.0585 0.7342 0.9949 O
0.0585 0.7658 0.4949 O
0.4415 0.2342 0.9949 O
0.4415 0.2658 0.4949 O
0.5585 0.7342 0.5051 O
0.5585 0.7658 0.0051 O
0.9415 0.2342 0.5051 O
0.9415 0.2658 0.0051 O
```